CaRh3N (GGA-PBE, relaxed); energy relative to the lowest polymorph listed for this composition = 2810 meV per atom; ΔE_f (raw) = 2.658 eV per atom; final energy = -19.09 eV per cell
1.0
4.8550 0.0000 0.0000
0.0000 4.8550 0.0000
0.0000 0.0000 4.8550
Ca Rh N
1 3 1
Direct
0.0000 0.0000 0.0000
0.0000 0.0000 0.5000
0.0000 0.5000 0.0000
0.5000 0.0000 0.0000
0.5000 0.5000 0.5000